Entry 1:
This record from Alexandria via LeMat-Bulk describes Ac3Si2BiPt9 after structural relaxation. The functional is PBE-GGA.

Unit cell a=7.4816 b=7.4816 c=7.1016 alpha=90.00 beta=90.00 gamma=120.00
Fractional positions:
1 Ac 0.0000 0.0000 0.0000
2 Ac 0.3333 0.6667 0.6538
3 Ac 0.6667 0.3333 0.3462
4 Si 0.3333 0.6667 0.1289
5 Si 0.6667 0.3333 0.8711
6 Bi 0.0000 0.0000 0.5000
7 Pt 0.0000 0.5000 0.0000
8 Pt 0.1807 0.3614 0.3035
9 Pt 0.1807 0.8193 0.3035
10 Pt 0.3614 0.1807 0.6965
11 Pt 0.5000 0.0000 0.0000
12 Pt 0.5000 0.5000 0.0000
13 Pt 0.6386 0.8193 0.3035
14 Pt 0.8193 0.1807 0.6965
15 Pt 0.8193 0.6386 0.6965

## Properties
Theoretical density ... 13.03 g cm⁻³
Formation energy without anion corrections ... -0.67 eV/atom
Fermi-level density of states ... 7.7 states/eV/f.u.

Entry 2:
This record from Alexandria via LeMat-Bulk describes Ce2PmNd3Se6 after structural relaxation. The functional is PBE-GGA.

Unit cell a=7.2937 b=7.2937 c=7.3197 alpha=99.56 beta=99.56 gamma=120.06
Fractional positions:
1 Ce 0.1664 0.8336 0.0000
2 Ce 0.8336 0.1664 0.0000
3 Pm 0.5000 0.5000 0.0000
4 Nd 0.0000 0.0000 0.5000
5 Nd 0.3355 0.6645 0.5000
6 Nd 0.6645 0.3355 0.5000
7 Se 0.0833 0.4174 0.7520
8 Se 0.2481 0.2481 0.2464
9 Se 0.4174 0.0833 0.7520
10 Se 0.5826 0.9167 0.2480
11 Se 0.7519 0.7519 0.7536
12 Se 0.9167 0.5826 0.2480

## Properties
Theoretical density ... 6.96 g cm⁻³
Formation energy without anion corrections ... -1.84 eV/atom
Fermi-level density of states ... 15.1 states/eV/f.u.

Entry 3:
This record from Alexandria via LeMat-Bulk describes AlIN after structural relaxation. The functional is PBE-GGA.

Unit cell a=7.5834 b=7.5834 c=7.5834 alpha=45.67 beta=45.67 gamma=45.67
Fractional positions:
1 Al 0.0000 0.0000 0.0000
2 Al 0.1145 0.1145 0.1145
3 Al 0.3904 0.3904 0.3904
4 I 0.2263 0.5594 0.8838
5 I 0.5594 0.8838 0.2263
6 I 0.8838 0.2263 0.5594
7 N 0.1959 0.7555 0.2205
8 N 0.2205 0.1959 0.7555
9 N 0.7555 0.2205 0.1959

## Properties
Theoretical density ... 4.11 g cm⁻³
Formation energy without anion corrections ... -0.01 eV/atom
Fermi-level density of states ... 1.6 states/eV/f.u.

Entry 4:
This record from Alexandria via LeMat-Bulk describes CaCO3 after structural relaxation. The functional is PBE-GGA.

Unit cell a=6.4421 b=6.4421 c=6.4421 alpha=46.18 beta=46.18 gamma=46.18
Fractional positions:
1 Ca 0.0000 0.0000 0.0000
2 Ca 0.5000 0.5000 0.5000
3 C 0.2500 0.2500 0.2500
4 C 0.7500 0.7500 0.7500
5 O 0.0072 0.7500 0.4928
6 O 0.2500 0.5072 0.9928
7 O 0.4928 0.0072 0.7500
8 O 0.5072 0.9928 0.2500
9 O 0.7500 0.4928 0.0072
10 O 0.9928 0.2500 0.5072

## Properties
Theoretical density ... 2.62 g cm⁻³
Formation energy without anion corrections ... -2.27 eV/atom
Fermi-level density of states ... 0.0 states/eV/f.u.

Entry 5:
This record from Alexandria via LeMat-Bulk describes CeZnAsS after structural relaxation. The functional is PBE-GGA.

Unit cell a=11.2141 b=11.2141 c=11.2141 alpha=22.79 beta=22.79 gamma=22.79
Fractional positions:
1 Ce 0.1073 0.1073 0.1073
2 Ce 0.8927 0.8927 0.8927
3 Zn 0.3038 0.3038 0.3038
4 Zn 0.6962 0.6962 0.6962
5 As 0.3825 0.3825 0.3825
6 As 0.6175 0.6175 0.6175
7 S 0.1973 0.1973 0.1973
8 S 0.8027 0.8027 0.8027

## Properties
Theoretical density ... 5.59 g cm⁻³
Formation energy without anion corrections ... -1.10 eV/atom
Fermi-level density of states ... 6.9 states/eV/f.u.

Entry 6:
This record from Alexandria via LeMat-Bulk describes ReNiPt4 after structural relaxation. The functional is PBE-GGA.

Unit cell a=5.1657 b=5.1657 c=5.1657 alpha=60.00 beta=60.00 gamma=60.00
Fractional positions:
1 Re 0.0000 0.0000 0.0000
2 Ni 0.2500 0.2500 0.2500
3 Pt 0.1250 0.6250 0.6250
4 Pt 0.6250 0.1250 0.6250
5 Pt 0.6250 0.6250 0.1250
6 Pt 0.6250 0.6250 0.6250

## Properties
Theoretical density ... 17.47 g cm⁻³
Energy of formation from the pure elements ... 539 meV per atom
Fermi-level density of states ... 9.9 states/eV/f.u.

Entry 7:
This record from Alexandria via LeMat-Bulk describes LiNdS after structural relaxation. The functional is PBE-GGA.

Unit cell a=8.3382 b=8.3382 c=8.3382 alpha=33.48 beta=33.48 gamma=33.48
Fractional positions:
1 Li 0.1785 0.1785 0.1785
2 Li 0.8215 0.8215 0.8215
3 Nd 0.4009 0.4009 0.4009
4 Nd 0.5991 0.5991 0.5991
5 S 0.2796 0.2796 0.2796
6 S 0.7204 0.7204 0.7204

## Properties
Theoretical density ... 3.87 g cm⁻³
Formation energy without anion corrections ... -1.10 eV/atom
Fermi-level density of states ... 2.1 states/eV/f.u.

Entry 8:
This record from Alexandria via LeMat-Bulk describes BaSrTh after structural relaxation. The functional is PBE-GGA.

Unit cell a=4.2791 b=4.2791 c=16.2756 alpha=90.00 beta=90.00 gamma=90.00
Fractional positions:
1 Ba 0.2500 0.2500 0.1036
2 Ba 0.7500 0.7500 0.8964
3 Sr 0.2500 0.2500 0.6953
4 Sr 0.7500 0.7500 0.3047
5 Th 0.2500 0.2500 0.4602
6 Th 0.7500 0.7500 0.5398

## Properties
Theoretical density ... 5.09 g cm⁻³
Energy of formation from the pure elements ... 196 meV per atom
Fermi-level density of states ... 4.8 states/eV/f.u.

Entry 9:
This record from Alexandria via LeMat-Bulk describes Hf6HgSb3 after structural relaxation. The functional is PBE-GGA.

Unit cell a=8.4196 b=8.4196 c=7.2719 alpha=90.00 beta=90.00 gamma=113.12
Fractional positions:
1 Hf 0.0174 0.4473 0.0139
2 Hf 0.0493 0.9507 0.5000
3 Hf 0.2409 0.3822 0.3229
4 Hf 0.2592 0.7408 0.2496
5 Hf 0.3822 0.2409 0.8229
6 Hf 0.4473 0.0174 0.5139
7 Hf 0.5527 0.9826 0.0139
8 Hf 0.6178 0.7591 0.3229
9 Hf 0.7408 0.2592 0.7496
10 Hf 0.7591 0.6178 0.8229
11 Hf 0.9507 0.0493 0.0000
12 Hf 0.9826 0.5527 0.5139
13 Hg 0.1846 0.8154 0.8080
14 Hg 0.8154 0.1846 0.3080
15 Sb 0.0941 0.2948 0.6798
16 Sb 0.2948 0.0941 0.1798
17 Sb 0.4217 0.5783 0.9918
18 Sb 0.5783 0.4217 0.4918
19 Sb 0.7052 0.9059 0.6798
20 Sb 0.9059 0.7052 0.1798

## Properties
Theoretical density ... 11.47 g cm⁻³
Formation energy without anion corrections ... -0.20 eV/atom
Fermi-level density of states ... 7.2 states/eV/f.u.

Entry 10:
This record from Alexandria via LeMat-Bulk describes Zr2Sb2Pd after structural relaxation. The functional is PBE-GGA.

Unit cell a=6.7557 b=6.7557 c=6.7557 alpha=138.55 beta=138.55 gamma=60.06
Fractional positions:
1 Zr 0.2500 0.7500 0.5000
2 Zr 0.7500 0.2500 0.5000
3 Sb 0.1198 0.1198 0.0000
4 Sb 0.8802 0.8802 0.0000
5 Pd 0.5000 0.5000 0.0000

## Properties
Theoretical density ... 6.61 g cm⁻³
Formation energy without anion corrections ... 0.07 eV/atom
Fermi-level density of states ... 2.8 states/eV/f.u.

Entry 11:
This record from Alexandria via LeMat-Bulk describes Sr2SnBi4 after structural relaxation. The functional is PBE-GGA.

Unit cell a=4.8025 b=4.8025 c=10.6412 alpha=90.00 beta=90.00 gamma=90.00
Fractional positions:
1 Sr 0.0000 0.5000 0.2500
2 Sr 0.5000 0.0000 0.7500
3 Sn 0.0000 0.0000 0.5000
4 Bi 0.0000 0.0000 0.0000
5 Bi 0.0000 0.5000 0.6811
6 Bi 0.5000 0.0000 0.3189
7 Bi 0.5000 0.5000 0.0000

## Properties
Theoretical density ... 7.64 g cm⁻³
Energy of formation from the pure elements ... -427 meV per atom
Fermi-level density of states ... 4.1 states/eV/f.u.

Entry 12:
This record from Alexandria via LeMat-Bulk describes BeCu2Si after structural relaxation. The functional is PBE-GGA.

Unit cell a=4.2621 b=4.2621 c=2.6568 alpha=90.00 beta=90.00 gamma=108.70
Fractional positions:
1 Be 0.0000 0.0000 0.0000
2 Cu 0.0000 0.5000 0.5000
3 Cu 0.5000 0.0000 0.5000
4 Si 0.5000 0.5000 0.0000

## Properties
Theoretical density ... 5.96 g cm⁻³
Formation energy without anion corrections ... 0.08 eV/atom
Fermi-level density of states ... 1.3 states/eV/f.u.

Entry 13:
This record from Alexandria via LeMat-Bulk describes K4C3 after structural relaxation. The functional is PBE-GGA.

Unit cell a=5.6749 b=5.6749 c=5.3648 alpha=90.00 beta=90.00 gamma=120.00
Fractional positions:
1 K 0.0000 0.0000 0.2389
2 K 0.0000 0.0000 0.7611
3 K 0.3333 0.6667 0.5000
4 K 0.6667 0.3333 0.5000
5 C 0.0000 0.5000 0.0000
6 C 0.5000 0.0000 0.0000
7 C 0.5000 0.5000 0.0000

## Properties
Theoretical density ... 2.14 g cm⁻³
Energy of formation from the pure elements ... 2266 meV per atom
Fermi-level density of states ... 3.9 states/eV/f.u.

Entry 14:
This record from Alexandria via LeMat-Bulk describes TaNb3Tc after structural relaxation. The functional is PBE-GGA.

Unit cell a=4.7557 b=4.7557 c=4.7557 alpha=90.00 beta=90.00 gamma=90.00
Fractional positions:
1 Ta 0.0000 0.0000 0.0000
2 Nb 0.0000 0.5000 0.5000
3 Nb 0.5000 0.0000 0.5000
4 Nb 0.5000 0.5000 0.0000
5 Tc 0.5000 0.5000 0.5000

## Properties
Theoretical density ... 8.61 g cm⁻³
Energy of formation from the pure elements ... 1202 meV per atom
Fermi-level density of states ... 8.2 states/eV/f.u.

Entry 15:
This record from Alexandria via LeMat-Bulk describes YMgSnHg after structural relaxation. The functional is PBE-GGA.

Unit cell a=4.2796 b=4.6141 c=4.8911 alpha=90.00 beta=90.00 gamma=90.00
Fractional positions:
1 Y 0.0000 0.0000 0.0000
2 Mg 0.0000 0.5000 0.5000
3 Sn 0.5000 0.5000 0.0000
4 Hg 0.5000 0.0000 0.5000

## Properties
Theoretical density ... 7.44 g cm⁻³
Energy of formation from the pure elements ... -484 meV per atom
Fermi-level density of states ... 1.2 states/eV/f.u.

Entry 16:
This record from Alexandria via LeMat-Bulk describes Cd2SiTc after structural relaxation. The functional is PBE-GGA.

Unit cell a=2.7765 b=2.7765 c=10.2585 alpha=90.00 beta=90.00 gamma=111.96
Fractional positions:
1 Cd 0.0000 0.0000 0.2363
2 Cd 0.0000 0.0000 0.7637
3 Si 0.5000 0.5000 0.5000
4 Tc 0.5000 0.5000 0.0000

## Properties
Theoretical density ... 7.94 g cm⁻³
Formation energy without anion corrections ... 0.55 eV/atom
Fermi-level density of states ... 1.9 states/eV/f.u.

Entry 17:
This record from Alexandria via LeMat-Bulk describes La2PdAuN after structural relaxation. The functional is PBE-GGA.

Unit cell a=5.1026 b=5.1026 c=4.1949 alpha=90.00 beta=90.00 gamma=90.00
Fractional positions:
1 La 0.0000 0.5000 0.0000
2 La 0.5000 0.0000 0.0000
3 Pd 0.0000 0.0000 0.5000
4 Au 0.5000 0.5000 0.5000
5 N 0.0000 0.0000 0.0000

## Properties
Theoretical density ... 9.05 g cm⁻³
Formation energy without anion corrections ... -0.85 eV/atom
Fermi-level density of states ... 2.8 states/eV/f.u.

Entry 18:
This record from Alexandria via LeMat-Bulk describes NiB4 after structural relaxation. The functional is PBE-GGA.

Unit cell a=5.3498 b=5.3498 c=5.3498 alpha=31.31 beta=31.31 gamma=31.31
Fractional positions:
1 Ni 0.0000 0.0000 0.0000
2 B 0.1395 0.1395 0.1395
3 B 0.2492 0.2492 0.2492
4 B 0.7508 0.7508 0.7508
5 B 0.8605 0.8605 0.8605

## Properties
Theoretical density ... 4.61 g cm⁻³
Energy of formation from the pure elements ... -14 meV per atom
Fermi-level density of states ... 1.7 states/eV/f.u.

Entry 19:
This record from Alexandria via LeMat-Bulk describes BiAsPBr2 after structural relaxation. The functional is PBE-GGA.

Unit cell a=4.9523 b=4.9523 c=5.2506 alpha=90.00 beta=90.00 gamma=90.00
Fractional positions:
1 Bi 0.0000 0.0000 0.0000
2 As 0.5000 0.5000 0.0000
3 P 0.5000 0.5000 0.5000
4 Br 0.0000 0.5000 0.5000
5 Br 0.5000 0.0000 0.5000

## Properties
Theoretical density ... 6.12 g cm⁻³
Formation energy without anion corrections ... 0.34 eV/atom
Fermi-level density of states ... 2.6 states/eV/f.u.

Entry 20:
This record from Alexandria via LeMat-Bulk describes CeAlO2 after structural relaxation. The functional is PBE-GGA.

Unit cell a=3.8070 b=3.8070 c=3.5803 alpha=90.00 beta=90.00 gamma=90.00
Fractional positions:
1 Ce 0.0000 0.0000 0.0000
2 Al 0.5000 0.5000 0.5000
3 O 0.0000 0.5000 0.5000
4 O 0.5000 0.0000 0.5000

## Properties
Theoretical density ... 6.37 g cm⁻³
Formation energy without anion corrections ... -2.52 eV/atom
Fermi-level density of states ... 6.0 states/eV/f.u.

Entry 21:
This record from Alexandria via LeMat-Bulk describes Mg5Ga5Pd after structural relaxation. The functional is PBE-GGA.

Unit cell a=9.1602 b=9.1602 c=5.6741 alpha=107.76 beta=107.76 gamma=30.47
Fractional positions:
1 Mg 0.0000 0.0000 0.0000
2 Mg 0.2859 0.2859 0.2884
3 Mg 0.3519 0.3519 0.8534
4 Mg 0.6481 0.6481 0.1466
5 Mg 0.7141 0.7141 0.7116
6 Ga 0.1414 0.1414 0.4107
7 Ga 0.1423 0.1423 0.8708
8 Ga 0.5000 0.5000 0.5000
9 Ga 0.8577 0.8577 0.1292
10 Ga 0.8586 0.8586 0.5893
11 Pd 0.0000 0.0000 0.5000

## Properties
Theoretical density ... 4.18 g cm⁻³
Energy of formation from the pure elements ... -148 meV per atom
Fermi-level density of states ... 3.3 states/eV/f.u.

Entry 22:
This record from Alexandria via LeMat-Bulk describes ScIn2P after structural relaxation. The functional is PBE-GGA.

Unit cell a=6.3573 b=6.3573 c=6.3573 alpha=101.25 beta=101.25 gamma=127.58
Fractional positions:
1 Sc 0.0000 0.0000 0.0000
2 Sc 0.7500 0.2500 0.5000
3 In 0.1644 0.1250 0.5394
4 In 0.3750 0.8356 0.9606
5 In 0.5856 0.6250 0.4606
6 In 0.8750 0.4144 0.0394
7 P 0.2500 0.7500 0.5000
8 P 0.5000 0.5000 0.0000

## Properties
Theoretical density ... 5.55 g cm⁻³
Energy of formation from the pure elements ... -188 meV per atom
Fermi-level density of states ... 2.3 states/eV/f.u.

Entry 23:
This record from Alexandria via LeMat-Bulk describes Pr6GaCo2Br3 after structural relaxation. The functional is PBE-GGA.

Unit cell a=10.0336 b=10.0336 c=9.2206 alpha=109.56 beta=109.56 gamma=23.41
Fractional positions:
1 Pr 0.0222 0.0222 0.2504
2 Pr 0.3180 0.3180 0.4398
3 Pr 0.3380 0.3380 0.8699
4 Pr 0.6620 0.6620 0.1301
5 Pr 0.6820 0.6820 0.5602
6 Pr 0.9778 0.9778 0.7496
7 Ga 0.5000 0.5000 0.0000
8 Co 0.1701 0.1701 0.3432
9 Co 0.8299 0.8299 0.6568
10 Br 0.1628 0.1628 0.8399
11 Br 0.5000 0.5000 0.5000
12 Br 0.8372 0.8372 0.1601

## Properties
Theoretical density ... 6.10 g cm⁻³
Formation energy without anion corrections ... -0.77 eV/atom
Fermi-level density of states ... 5.6 states/eV/f.u.

Entry 24:
This record from Alexandria via LeMat-Bulk describes TmPuTlRu after structural relaxation. The functional is PBE-GGA.

Unit cell a=5.0615 b=5.0615 c=5.0615 alpha=60.00 beta=60.00 gamma=60.00
Fractional positions:
1 Tm 0.0000 0.0000 0.0000
2 Pu 0.5000 0.5000 0.5000
3 Tl 0.2500 0.2500 0.2500
4 Ru 0.7500 0.7500 0.7500

## Properties
Theoretical density ... 13.01 g cm⁻³
Energy of formation from the pure elements ... -38 meV per atom
Fermi-level density of states ... 8.2 states/eV/f.u.